VASP calculation (PBE) on TaTi3Ru after structural relaxation.

The structure in extended XYZ format:
```
5
Lattice="-0.7303 -3.7197 2.6357 2.0108 -2.6585 -3.1946 4.0914 0.6426 2.0405" Properties=species:S:1:pos:R:3 pbc="T T T"
Ta 2.6860 -2.8678 0.7408
Ru 0.0000 0.0000 0.0000
Ti 1.0054 -1.3292 -1.5973
Ti 2.0457 0.3213 1.0203
Ti -0.3652 -1.8598 1.3179
```

Computed properties:
**ΔE_f**: 0.633 eV per atom

***

VASP calculation (PBE) on TaTi5Ru4 after structural relaxation.

The structure in extended XYZ format:
```
10
Lattice="3.0826 0.0000 0.0000 0.0000 3.0826 0.0000 0.0000 0.0000 15.9922" Properties=species:S:1:pos:R:3 pbc="T T T"
Ti 1.5413 1.5413 7.9961
Ru 0.0000 0.0000 3.3664
Ru 0.0000 0.0000 9.5386
Ti 1.5413 1.5413 11.0891
Ti 1.5413 1.5413 1.8332
Ta 0.0000 0.0000 0.0000
Ru 0.0000 0.0000 12.6258
Ti 1.5413 1.5413 4.9031
Ru 0.0000 0.0000 6.4537
Ti 1.5413 1.5413 14.1590
```

Computed properties:
**ΔE_f**: -0.608 eV per atom

***

VASP calculation (PBE) on TaTi4Ru5 after structural relaxation.

The structure in extended XYZ format:
```
10
Lattice="3.0974 0.0000 0.0000 0.0000 3.0974 0.0000 0.0000 0.0000 15.5255" Properties=species:S:1:pos:R:3 pbc="T T T"
Ti 0.0000 0.0000 3.1789
Ru 1.5487 1.5487 7.7628
Ti 0.0000 0.0000 6.2348
Ru 1.5487 1.5487 10.8403
Ru 1.5487 1.5487 13.9031
Ti 0.0000 0.0000 12.3467
Ru 1.5487 1.5487 1.6224
Ti 0.0000 0.0000 9.2908
Ta 0.0000 0.0000 0.0000
Ru 1.5487 1.5487 4.6852
```

Computed properties:
**ΔE_f**: -0.681 eV per atom

***

VASP calculation (PBE) on Ta14TiRu after structural relaxation.

The structure in extended XYZ format:
```
16
Lattice="5.7093 0.2042 0.0000 -2.0498 5.3326 0.0000 0.0000 0.0000 9.2673" Properties=species:S:1:pos:R:3 pbc="T T T"
Ta -0.0546 2.0246 4.6336
Ru 2.8004 2.1268 4.6336
Ta 4.7807 0.8179 6.9365
Ta 3.6931 3.4789 2.3819
Ta 0.8186 3.4367 6.9360
Ta 1.9064 0.7756 6.8854
Ta -0.0560 2.0258 0.0000
Ta 1.7739 4.7943 0.0000
Ta 2.7986 2.1280 0.0000
Ta -1.0809 4.6922 0.0000
Ta 1.9064 0.7756 2.3819
Ta 3.6931 3.4789 6.8854
Ta 0.8186 3.4367 2.3313
Ta 4.7807 0.8179 2.3308
Ti -1.0782 4.6904 4.6336
Ta 1.7755 4.7934 4.6336
```

Computed properties:
**ΔE_f**: -0.058 eV per atom